# GGA-PBE CaSi2Rh, optimized geometry
data_CaSi2Rh
_chemical_formula_sum 'Ca2 Si4 Rh2'
_cell_length_a 5.4594
_cell_length_b 8.1404
_cell_length_c 3.0297
_cell_angle_alpha 90.00
_cell_angle_beta 90.61
_cell_angle_gamma 90.00
_space_group_name_H-M_alt 'C 1 2/m 1'
_space_group_IT_number 12
loop_
_space_group_symop_operation_xyz
'x,y,z'
'-x,-y,-z'
'-x,y,-z'
'x,-y,z'
'x+1/2,y+1/2,z'
'-x+1/2,-y+1/2,-z'
'-x+1/2,y+1/2,-z'
'x+1/2,-y+1/2,z'
loop_
_atom_site_label
_atom_site_type_symbol
_atom_site_fract_x
_atom_site_fract_y
_atom_site_fract_z
Ca1 Ca 0.0000 0.0000 0.0000
Si1 Si 0.2500 0.2500 0.5000
Rh1 Rh 0.0000 0.5000 0.0000
# * total magnetization: 0.0 μB per cell
# * calculated total energy: -5.125 eV/atom
# * Fermi-level density of states: 0.60 states/eV per atom
# * uncorrected formation energy: -0.075 eV/atom

***

# GGA-PBE Sm3ZnO, optimized geometry
data_Sm3ZnO
_chemical_formula_sum 'Sm3 Zn1 O1'
_cell_length_a 4.8530
_cell_length_b 4.8530
_cell_length_c 4.8530
_cell_angle_alpha 90.00
_cell_angle_beta 90.00
_cell_angle_gamma 90.00
_space_group_name_H-M_alt 'P m -3 m'
_space_group_IT_number 221
_space_group_name_Hall '-P 4 2 3'
loop_
_atom_site_label
_atom_site_type_symbol
_atom_site_fract_x
_atom_site_fract_y
_atom_site_fract_z
Sm1 Sm 0.0000 0.0000 0.5000
Zn1 Zn 0.5000 0.5000 0.5000
O1 O 0.0000 0.0000 0.0000
# * total magnetization: 0.0 μB per cell
# * calculated total energy: -5.318 eV/atom
# * Fermi-level density of states: 0.70 states/eV per atom
# * uncorrected formation energy: -1.240 eV/atom

***

# GGA-PBE UNF, optimized geometry
data_UNF
_chemical_formula_sum 'U4 N4 F4'
_cell_length_a 6.2316
_cell_length_b 3.4993
_cell_length_c 7.2677
_cell_angle_alpha 90.00
_cell_angle_beta 90.00
_cell_angle_gamma 90.00
_space_group_name_H-M_alt 'P n m a'
_space_group_IT_number 62
loop_
_space_group_symop_operation_xyz
'x,y,z'
'-x,-y,-z'
'-x+1/2,-y,z+1/2'
'x+1/2,y,-z+1/2'
'x+1/2,-y+1/2,-z+1/2'
'-x+1/2,y+1/2,z+1/2'
'-x,y+1/2,-z'
'x,-y+1/2,z'
loop_
_atom_site_label
_atom_site_type_symbol
_atom_site_fract_x
_atom_site_fract_y
_atom_site_fract_z
U1 U 0.2047 0.2500 0.1232
N1 N 0.0312 0.2500 0.8484
F1 F 0.1187 0.2500 0.4437
# * total magnetization: 8.0 μB per cell
# * calculated total energy: -9.295 eV/atom
# * Fermi-level density of states: 1.55 states/eV per atom
# * uncorrected formation energy: -2.134 eV/atom